Material: ReSiTe2I
Method: DFT, GGA-PBE
State: optimized geometry

Cell: 5.1458 5.1458 5.6933 Å, 90.00 90.00 90.00°
Positions (direct):
1 Re 0.0000 0.0000 0.0000
2 Si 0.5000 0.5000 0.5000
3 Te 0.0000 0.5000 0.0000
4 Te 0.5000 0.0000 0.0000
5 I 0.0000 0.0000 0.5000

Computed properties:
Calculated volume (Å³/atom): 30.2
ΔE_f (raw) (eV per atom): 1.0340
Total magnetic moment (μB per formula unit): 0.90
E_tot (eV per atom): -4.107
Energy relative to the lowest polymorph listed for this composition (meV per atom): 0

=====

Material: ReSiTe2I
Method: DFT, GGA-PBE
State: optimized geometry

Cell: 5.3029 5.3029 5.4179 Å, 90.00 90.00 90.00°
Positions (direct):
1 Re 0.0000 0.0000 0.0000
2 Si 0.5000 0.5000 0.5000
3 Te 0.0000 0.5000 0.5000
4 Te 0.5000 0.0000 0.5000
5 I 0.5000 0.5000 0.0000

Computed properties:
Calculated volume (Å³/atom): 30.5
ΔE_f (raw) (eV per atom): 1.4253
Total magnetic moment (μB per formula unit): 5.07
E_tot (eV per atom): -3.716
Energy relative to the lowest polymorph listed for this composition (meV per atom): 391

=====

Material: Sm2ReI
Method: DFT, GGA-PBE
State: optimized geometry

Cell: 3.5434 3.5434 30.7473 Å, 90.00 90.00 120.00°
Positions (direct):
1 Sm 0.0000 0.0000 0.0835
2 Sm 0.0000 0.0000 0.9165
3 Sm 0.3333 0.6667 0.5831
4 Sm 0.3333 0.6667 0.7502
5 Sm 0.6667 0.3333 0.2498
6 Sm 0.6667 0.3333 0.4169
7 Re 0.0000 0.0000 0.0000
8 Re 0.3333 0.6667 0.6667
9 Re 0.6667 0.3333 0.3333
10 I 0.0000 0.0000 0.5000
11 I 0.3333 0.6667 0.1667
12 I 0.6667 0.3333 0.8333

Computed properties:
Calculated volume (Å³/atom): 27.9
ΔE_f (raw) (eV per atom): 0.6642
Total magnetic moment (μB per formula unit): 0.00
E_tot (eV per atom): -5.195

=====

Repeat the first record exactly.
Material: ReSiTe2I
Method: DFT, GGA-PBE
State: optimized geometry

Cell: 5.1458 5.1458 5.6933 Å, 90.00 90.00 90.00°
Positions (direct):
1 Re 0.0000 0.0000 0.0000
2 Si 0.5000 0.5000 0.5000
3 Te 0.0000 0.5000 0.0000
4 Te 0.5000 0.0000 0.0000
5 I 0.0000 0.0000 0.5000

Computed properties:
Calculated volume (Å³/atom): 30.2
ΔE_f (raw) (eV per atom): 1.0340
Total magnetic moment (μB per formula unit): 0.90
E_tot (eV per atom): -4.107
Energy relative to the lowest polymorph listed for this composition (meV per atom): 0

=====

Repeat the first record exactly.
Material: ReSiTe2I
Method: DFT, GGA-PBE
State: optimized geometry

Cell: 5.1458 5.1458 5.6933 Å, 90.00 90.00 90.00°
Positions (direct):
1 Re 0.0000 0.0000 0.0000
2 Si 0.5000 0.5000 0.5000
3 Te 0.0000 0.5000 0.0000
4 Te 0.5000 0.0000 0.0000
5 I 0.0000 0.0000 0.5000

Computed properties:
Calculated volume (Å³/atom): 30.2
ΔE_f (raw) (eV per atom): 1.0340
Total magnetic moment (μB per formula unit): 0.90
E_tot (eV per atom): -4.107
Energy relative to the lowest polymorph listed for this composition (meV per atom): 0

=====

Which value of total magnetic moment does entry 1 give? 0.90 μB per formula unit